Below is a geometry-optimized Dy2CdSn2 structure, with properties calculated at the PBE level.

It has space group Cmmm (No. 65), with a = 4.251 Å, b = 15.457 Å, c = 4.174 Å, α = 90.00°, β = 90.00° and γ = 90.00°. The distinct sites, in fractional coordinates, are Dy at (0.000, 0.128, 0.000), Cd at (0.000, 0.500, 0.500) and Sn at (0.000, 0.313, 0.500).

The theoretical density is 8.172 g cm⁻³. The value obtained for the formation energy is -39 kJ per mole of atoms. The calculation puts the density of states at the Fermi level at 2.7 states/eV/f.u. As for the uncorrected energy: -4.030 eV per atom.